{"formula": "Mg6AlW", "functional": "PBE", "state": "relaxed", "cell": [[4.969, 0.000, 0.000], [0.000, 5.843, 0.000], [0.000, 0.000, 10.753]], "species": ["Mg", "Mg", "Mg", "Mg", "Mg", "Mg", "Mg", "Mg", "Mg", "Mg", "Mg", "Mg", "Al", "Al", "W", "W"], "frac_coords": [[0.000, 0.000, 0.000], [0.000, 0.000, 0.497], [0.000, 0.240, 0.259], [0.000, 0.260, 0.759], [0.000, 0.500, 0.500], [0.000, 0.500, 0.997], [0.000, 0.740, 0.759], [0.000, 0.760, 0.259], [0.500, 0.249, 0.598], [0.500, 0.251, 0.098], [0.500, 0.749, 0.098], [0.500, 0.751, 0.598], [0.500, 0.000, 0.845], [0.500, 0.500, 0.345], [0.500, 0.000, 0.349], [0.500, 0.500, 0.849]], "m_tot_mub_per_fu": 0.31, "e_above_lowest_polymorph_ev_per_fu": 0.13, "ef_ev_per_atom": 0.24}

{"formula": "Mg14AlW", "functional": "PBE", "state": "relaxed", "cell": [[6.233, 0.000, 0.000], [-3.116, 5.398, 0.000], [0.000, 0.000, 10.036]], "species": ["Mg", "Mg", "Mg", "Mg", "Mg", "Mg", "Mg", "Mg", "Mg", "Mg", "Mg", "Mg", "Mg", "Mg", "Al", "W"], "frac_coords": [[0.000, 0.000, 0.249], [0.000, 0.000, 0.751], [0.014, 0.507, 0.257], [0.014, 0.507, 0.743], [0.334, 0.167, 0.000], [0.334, 0.167, 0.500], [0.493, 0.507, 0.257], [0.493, 0.507, 0.743], [0.493, 0.986, 0.257], [0.493, 0.986, 0.743], [0.833, 0.167, 0.000], [0.833, 0.167, 0.500], [0.833, 0.666, 0.000], [0.833, 0.666, 0.500], [0.333, 0.667, 0.000], [0.333, 0.667, 0.500]], "m_tot_mub_per_fu": 0.00, "e_above_lowest_polymorph_ev_per_fu": 0.16, "ef_ev_per_atom": 0.14}